1.
{"formula": "Pa2TcCl", "functional": "GGA-PBE", "state": "optimized geometry", "cell": [[3.928, 0.000, 0.000], [1.964, 3.401, 0.000], [1.964, 1.134, 7.102]], "species": ["Pa", "Pa", "Tc", "Cl"], "fractional_positions": [[0.261, 0.261, 0.217], [0.739, 0.739, 0.783], [0.000, 0.000, 0.000], [0.500, 0.500, 0.500]], "spacegroup": "R-3m", "raw_formation_energy_mev_per_atom": -453, "total_magnetization_mub_per_fu": 0.000, "relative_energy_mev_per_atom": 73}



2.
{"formula": "Nd2DyPu", "functional": "GGA-PBE", "state": "optimized geometry", "cell": [[3.567, 0.000, 0.000], [0.000, 3.567, 0.000], [0.000, 0.000, 10.198]], "species": ["Dy", "Nd", "Nd", "Pu"], "fractional_positions": [[0.500, 0.500, 0.500], [0.000, 0.000, 0.754], [0.000, 0.000, 0.246], [0.500, 0.500, 0.000]], "spacegroup": "P4/mmm", "total_magnetization_mub_per_fu": 6.186, "delta_e_f_ev_per_atom": 0.115, "relative_energy_mev_per_atom": 0}



3.
{"formula": "Cs2BaB", "functional": "GGA-PBE", "state": "optimized geometry", "cell": [[-5.539, 6.078, 5.086], [-7.900, -3.739, -4.135], [-7.166, -3.428, 5.485]], "species": ["Cs", "Cs", "Cs", "Cs", "B", "B", "Ba", "Ba"], "fractional_positions": [[0.384, 0.125, 0.250], [0.366, 0.625, 0.250], [0.375, 0.616, 0.750], [0.875, 0.634, 0.750], [0.500, 0.500, 0.000], [0.250, 0.750, 0.500], [0.000, 0.000, 0.000], [0.750, 0.250, 0.500]], "spacegroup": "I-42d", "total_magnetization_mub_per_fu": 0.000, "delta_e_f_ev_per_atom": 1.263}



4.
{"formula": "ThSc2Tc", "functional": "GGA-PBE", "state": "optimized geometry", "cell": [[-4.304, -3.351, -2.553], [4.951, -3.046, -4.348], [1.368, -6.315, 5.982]], "species": ["Th", "Th", "Th", "Th", "Sc", "Sc", "Sc", "Sc", "Sc", "Sc", "Sc", "Sc", "Tc", "Tc", "Tc", "Tc"], "fractional_positions": [[0.630, 0.542, 0.250], [0.870, 0.042, 0.250], [0.370, 0.458, 0.750], [0.130, 0.958, 0.750], [0.154, 0.673, 0.066], [0.346, 0.173, 0.434], [0.846, 0.327, 0.566], [0.654, 0.827, 0.934], [0.846, 0.327, 0.934], [0.654, 0.827, 0.566], [0.154, 0.673, 0.434], [0.346, 0.173, 0.066], [0.043, 0.369, 0.250], [0.457, 0.869, 0.250], [0.957, 0.631, 0.750], [0.543, 0.131, 0.750]], "spacegroup": "Pnma", "total_magnetization_mub_per_fu": 0.000, "delta_e_f_ev_per_atom": -0.184, "relative_energy_mev_per_atom": 0}